FeNiN | PBE | relaxed

Results
As for the density: 7.33 g cm⁻³. For the final energy, the calculation gives -7.285 eV per atom.

Cell: 2.8172 2.8172 3.6667 Å, 90.00 90.00 90.00°
Sites, in units of the cell vectors:
N 0.0000 0.0000 0.0000
Fe 0.0000 0.0000 0.5000
Ni 0.5000 0.5000 0.0000